No. 1
# Co2BSb

A geometry-optimized Co2BSb structure (PBE, OQMD).

Summary:
The energy above the most stable polymorph in this dataset is 0.80 eV/f.u. The calculation puts the total energy at -6.146 eV per atom.

Geometry as POSCAR:
```
Co2BSb
1.0
-0.510 -1.222 -2.770
1.853 -4.789 1.772
-5.737 -1.572 1.750
B Sb Co
2 2 4
direct
0.500 0.023 0.189
0.000 0.977 0.689
0.000 0.393 0.908
0.500 0.607 0.408
0.500 0.781 0.783
0.500 0.194 0.620
0.000 0.806 0.120
0.000 0.219 0.283
```

No. 2
# Y4CoAuC2

A geometry-optimized Y4CoAuC2 structure (PBE, OQMD).

Summary:
The calculation puts the total energy at -7.072 eV per atom.

Geometry as POSCAR:
```
Y4CoAuC2
1.0
-0.016 0.521 3.598
-0.100 -3.375 -1.349
13.800 -0.462 0.129
Y Au C Co
4 1 2 1
direct
0.000 0.000 0.139
0.333 0.667 0.665
0.333 0.667 0.335
0.000 0.000 0.861
0.000 0.000 0.500
0.667 0.333 0.246
0.667 0.333 0.754
0.333 0.667 0.000
```